Entry from Alexandria via LeMat-Bulk: Ba4Ge2O after structural relaxation (GGA-PBE).

Values from the calculation:
The value obtained for the volume is 35.3 Å³/atom. For the polymorph energy (0 for the lowest one), the calculation gives 0.023 eV/atom. The value obtained for the formation energy without anion corrections is -6.89 eV/f.u. For the spin magnetization, the calculation gives 0.00 μB/f.u.

a = 5.647 Å, b = 5.647 Å, c = 15.491 Å
α = 90.00°, β = 90.00°, γ = 90.00°
Element x y z (fractional)
Ba1 0.000 0.000 0.176
Ba2 0.000 0.000 0.824
Ba3 0.000 0.500 0.000
Ba4 0.000 0.500 0.500
Ba5 0.500 0.000 0.000
Ba6 0.500 0.000 0.500
Ba7 0.500 0.500 0.324
Ba8 0.500 0.500 0.676
Ge1 0.000 0.000 0.384
Ge2 0.000 0.000 0.616
Ge3 0.500 0.500 0.116
Ge4 0.500 0.500 0.884
O1 0.000 0.000 0.000
O2 0.500 0.500 0.500